No. 1
# VPt8Rh2, optimized geometry, DFT GGA-PBE
# - DFT formation energy (eV per atom) = 0.182
# - VASP energy (eV per atom) = -6.377
data_VPt8Rh2
_chemical_formula_sum 'V2 Pt16 Rh4'
_cell_length_a 9.747
_cell_length_b 8.566
_cell_length_c 4.842
_cell_angle_alpha 90.00
_cell_angle_beta 108.17
_cell_angle_gamma 90.00
_space_group_name_H-M_alt 'C 1 2/m 1'
_space_group_IT_number 12
loop_
_space_group_symop_operation_xyz
'x,y,z'
'-x,-y,-z'
'-x,y,-z'
'x,-y,z'
'x+1/2,y+1/2,z'
'-x+1/2,-y+1/2,-z'
'-x+1/2,y+1/2,-z'
'x+1/2,-y+1/2,z'
loop_
_atom_site_label
_atom_site_type_symbol
_atom_site_fract_x
_atom_site_fract_y
_atom_site_fract_z
V1 V 0.000 0.000 0.000
Pt1 Pt 0.077 0.500 0.306
Pt2 Pt 0.078 0.236 0.789
Pt3 Pt 0.228 0.500 0.914
Rh1 Rh 0.142 0.000 0.495

***

No. 2
# Ta2SiTe, optimized geometry, DFT GGA-PBE
# - VASP energy (eV per atom) = -8.068
# - formation energy without anion corrections (kJ per mole of atoms) = 0
data_Ta2SiTe
_chemical_formula_sum 'Ta2 Si1 Te1'
_cell_length_a 3.288
_cell_length_b 3.288
_cell_length_c 6.684
_cell_angle_alpha 90.00
_cell_angle_beta 90.00
_cell_angle_gamma 90.00
_space_group_name_H-M_alt 'P 4/m m m'
_space_group_IT_number 123
_space_group_name_Hall '-P 4 2'
loop_
_atom_site_label
_atom_site_type_symbol
_atom_site_fract_x
_atom_site_fract_y
_atom_site_fract_z
Ta1 Ta 0.000 0.000 0.218
Si1 Si 0.500 0.500 0.000
Te1 Te 0.500 0.500 0.500

***

Number 1: ΔE to the lowest computed polymorph 403 meV per atom. Number 2: ΔE to the lowest computed polymorph 175 meV per atom.